Entry 1:
A geometry-optimized YNbTlGa2 structure. Source: Alexandria via LeMat-Bulk, functional PBE-GGA.

Unit cell a=5.095 b=5.095 c=5.378 alpha=90.00 beta=90.00 gamma=90.00
Sites, in units of the cell vectors:
Y1 0.000 0.000 0.000
Nb1 0.500 0.500 0.000
Tl1 0.500 0.500 0.500
Ga1 0.000 0.500 0.500
Ga2 0.500 0.000 0.500

Properties
- SG = P4/mmm (123)
- formation energy from the elements (eV/atom) = 0.97

---

Entry 2:
A geometry-optimized TmNbGa3 structure. Source: Alexandria via LeMat-Bulk, functional PBE-GGA.

Unit cell a=3.979 b=3.979 c=12.581 alpha=90.00 beta=90.00 gamma=90.00
Sites, in units of the cell vectors:
Tm1 0.000 0.000 0.000
Tm2 0.500 0.500 0.500
Nb1 0.000 0.000 0.640
Nb2 0.500 0.500 0.140
Ga1 0.000 0.000 0.432
Ga2 0.000 0.500 0.283
Ga3 0.000 0.500 0.783
Ga4 0.500 0.000 0.283
Ga5 0.500 0.000 0.783
Ga6 0.500 0.500 0.932

Properties
- SG = I4mm (107)
- formation energy from the elements (eV/atom) = -0.18

---

Entry 3:
A geometry-optimized Tm2NbGa3 structure. Source: Alexandria via LeMat-Bulk, functional PBE-GGA.

Unit cell a=4.585 b=13.325 c=3.896 alpha=90.00 beta=90.00 gamma=90.00
Sites, in units of the cell vectors:
Tm1 0.000 0.165 0.000
Tm2 0.000 0.835 0.000
Tm3 0.500 0.335 0.000
Tm4 0.500 0.665 0.000
Nb1 0.000 0.500 0.000
Nb2 0.500 0.000 0.000
Ga1 0.000 0.000 0.500
Ga2 0.000 0.346 0.500
Ga3 0.000 0.654 0.500
Ga4 0.500 0.154 0.500
Ga5 0.500 0.500 0.500
Ga6 0.500 0.846 0.500

Properties
- SG = Cmmm (65)
- formation energy from the elements (eV/atom) = -0.37

---

Number 1: raw total energy -4.024 eV/atom. Number 2: raw total energy -4.902 eV/atom. Number 3: raw total energy -5.052 eV/atom.